No. 1
A plane-wave DFT calculation with PBE was carried out for an optimized crystal structure of Al2GaH6.

abc: 4.810 4.810 4.810
angles: 60.00 60.00 60.00
Fractional positions:
Al1 0.750 0.750 0.750
Al2 0.250 0.250 0.250
H1 0.737 0.263 0.737
H2 0.737 0.263 0.263
H3 0.263 0.263 0.737
H4 0.263 0.737 0.263
H5 0.737 0.737 0.263
H6 0.263 0.737 0.737
Ga1 0.000 0.000 0.000

Results
Energy above the most stable polymorph in this dataset ... 0.438 eV/atom
DOS at the Fermi energy ... 2.924 states/eV/f.u.
Spin magnetization ... 0.00 μB per atom
Calculated total energy ... -25.6 eV for the cell shown
Space-group type ... No. 225

=====

No. 2
A plane-wave DFT calculation with PBE was carried out for an optimized crystal structure of ZnCoAg.

abc: 2.730 2.731 13.413
angles: 90.00 90.00 119.99
Last column: magnetic moment on the atom in μB.
Fractional positions:
Ag1 0.278 0.556 0.178  -0.01
Ag2 0.278 0.556 0.822  -0.01
Co1 0.611 0.222 0.652  1.59
Co2 0.611 0.222 0.348  1.59
Zn1 0.278 0.556 0.500  -0.06
Zn2 0.611 0.222 0.000  0.00

Results
Energy above the most stable polymorph in this dataset ... 0.060 eV/atom
DOS at the Fermi energy ... 2.512 states/eV/f.u.
Spin magnetization ... 0.49 μB per atom
Calculated total energy ... -21.2 eV for the cell shown
Space-group type ... No. 187

=====

energy above the most stable polymorph in this dataset of number 2 (ZnCoAg)?
0.060 eV/atom